The following is a PBE-GGA calculation of an optimized crystal structure of LaSm3Ru, from Alexandria.

The structure belongs to space group Ima2 (No. 46); the cell edges are 9.476, 7.517 and 8.949 Å and the angles 90.00°, 90.00° and 90.00°. The inequivalent atoms are La at (0.250, 0.025, 0.000), Sm at (0.039, 0.749, 0.751), Sm at (0.250, 0.019, 0.501) and Ru at (0.250, 0.248, 0.250).

The value obtained for the density is 7.2 g cm⁻³. The calculation puts the energy above the lowest structure with this stoichiometry at 75 meV/atom. For the density of states at the Fermi level, the calculation gives 5.8 states/eV/f.u. For the formation energy, the calculation gives -0.11 eV per atom. The total energy comes out at -5.78 eV per atom.

The following is a PBE-GGA calculation of an optimized crystal structure of LaSmRu, from Alexandria.

The structure belongs to space group P3m1 (No. 156); the cell edges are 4.1340, 4.1340 and 6.3181 Å and the angles 90.00°, 90.00° and 120.00°. The inequivalent atoms are La at (0.0000, 0.0000, 0.0000), Sm at (0.3333, 0.6667, 0.4672) and Ru at (0.6667, 0.3333, 0.2297).

The value obtained for the density is 6.9 g cm⁻³. The calculation puts the energy above the lowest structure with this stoichiometry at 54 meV/atom. For the density of states at the Fermi level, the calculation gives 1.1 states/eV/f.u. For the formation energy, the calculation gives -0.18 eV per atom. The total energy comes out at -6.48 eV per atom.

The following is a PBE-GGA calculation of an optimized crystal structure of La4SmRu2, from Alexandria.

The structure belongs to space group P2_1/m (No. 11); the cell edges are 7.935, 6.800 and 8.090 Å and the angles 90.00°, 111.76° and 90.00°. The inequivalent atoms are La at (0.114, 0.250, 0.468), La at (0.191, 0.750, 0.259), La at (0.262, 0.002, 0.916), Sm at (0.474, 0.250, 0.343), Ru at (0.089, 0.250, 0.146) and Ru at (0.490, 0.250, 0.737).

The value obtained for the density is 7.4 g cm⁻³. For the density of states at the Fermi level, the calculation gives 7.8 states/eV/f.u. For the formation energy, the calculation gives -0.16 eV per atom. The total energy comes out at -6.30 eV per atom.

The following is a PBE-GGA calculation of an optimized crystal structure of LaSm3Ru, from Alexandria.

The structure belongs to space group Pm-3m (No. 221); the cell edges are 5.517, 5.517 and 5.517 Å and the angles 90.00°, 90.00° and 90.00°. The inequivalent atoms are La at (0.000, 0.000, 0.000), Sm at (0.000, 0.500, 0.500) and Ru at (0.500, 0.500, 0.500).

The value obtained for the density is 6.8 g cm⁻³. The calculation puts the energy above the lowest structure with this stoichiometry at 162 meV/atom. For the density of states at the Fermi level, the calculation gives 8.9 states/eV/f.u. For the formation energy, the calculation gives -0.02 eV per atom. The total energy comes out at -5.69 eV per atom.